No. 1
A relaxed CsNaSc2 crystal. Source: Alexandria, functional PBE.

Cell lengths 5.702, 5.702, 5.702 Å; angles 60.00, 60.00, 60.00 degrees
Fractional positions:
Cs: 0.000 0.000 0.000
Na: 0.500 0.500 0.500
Sc: 0.250 0.250 0.250
Sc: 0.750 0.750 0.750

Computed properties:
- Final energy: -11.14 eV per formula unit
- Offset from the most stable computed form: 0.295 eV/atom



No. 2
A relaxed CsNaSc2 crystal. Source: Alexandria, functional PBE.

Cell lengths 13.103, 13.103, 13.103 Å; angles 15.01, 15.01, 15.01 degrees
Fractional positions:
Cs: 0.000 0.000 0.000
Na: 0.500 0.500 0.500
Sc: 0.090 0.090 0.090
Sc: 0.910 0.910 0.910

Computed properties:
- Final energy: -12.32 eV per formula unit
- Offset from the most stable computed form: 0.000 eV/atom



No. 3
A relaxed CsNaSe3 crystal. Source: Alexandria, functional PBE.

Cell lengths 6.188, 6.188, 6.188 Å; angles 90.00, 90.00, 90.00 degrees
Fractional positions:
Cs: 0.000 0.000 0.000
Na: 0.500 0.500 0.500
Se: 0.000 0.000 0.500
Se: 0.000 0.500 0.000
Se: 0.500 0.000 0.000

Computed properties:
- Final energy: -10.19 eV per formula unit
- Raw formation energy: 0.4865 eV per atom



No. 4
A relaxed CsNa5Se3 crystal. Source: Alexandria, functional PBE.

Cell lengths 8.233, 8.233, 13.922 Å; angles 90.00, 90.00, 146.47 degrees
Fractional positions:
Cs: 0.167 0.833 0.750
Cs: 0.833 0.167 0.250
Na: 0.000 0.000 0.000
Na: 0.000 0.000 0.500
Na: 0.194 0.806 0.065
Na: 0.194 0.806 0.435
Na: 0.456 0.544 0.641
Na: 0.456 0.544 0.859
Na: 0.544 0.456 0.141
Na: 0.544 0.456 0.359
Na: 0.806 0.194 0.565
Na: 0.806 0.194 0.935
Se: 0.092 0.908 0.250
Se: 0.376 0.624 0.045
Se: 0.376 0.624 0.455
Se: 0.624 0.376 0.545
Se: 0.624 0.376 0.955
Se: 0.908 0.092 0.750

Computed properties:
- Final energy: -27.28 eV per formula unit
- Raw formation energy: -1.0423 eV per atom



No. 5
A relaxed CsNaSe2 crystal. Source: Alexandria, functional PBE.

Cell lengths 5.742, 5.742, 5.742 Å; angles 60.00, 60.00, 60.00 degrees
Fractional positions:
Cs: 0.000 0.000 0.000
Na: 0.500 0.500 0.500
Se: 0.250 0.250 0.250
Se: 0.750 0.750 0.750

Computed properties:
- Final energy: -10.82 eV per formula unit
- Raw formation energy: -0.4208 eV per atom
- Offset from the most stable computed form: 0.390 eV/atom



No. 6
A relaxed Cs4Na2Se crystal. Source: Alexandria, functional PBE.

Cell lengths 12.161, 12.161, 12.161 Å; angles 146.32, 146.32, 48.37 degrees
Fractional positions:
Cs: 0.000 0.500 0.500
Cs: 0.156 0.156 0.000
Cs: 0.500 0.000 0.500
Cs: 0.844 0.844 0.000
Na: 0.354 0.354 0.000
Na: 0.646 0.646 0.000
Se: 0.000 0.000 0.000

Computed properties:
- Final energy: -12.23 eV per formula unit
- Raw formation energy: -0.3845 eV per atom



No. 7
A relaxed Cs2Na4Se crystal. Source: Alexandria, functional PBE.

Cell lengths 13.538, 13.538, 13.538 Å; angles 155.75, 155.75, 34.57 degrees
Fractional positions:
Cs: 0.187 0.187 0.000
Cs: 0.813 0.813 0.000
Na: 0.000 0.500 0.500
Na: 0.389 0.389 0.000
Na: 0.500 0.000 0.500
Na: 0.611 0.611 0.000
Se: 0.500 0.500 0.000

Computed properties:
- Final energy: -12.75 eV per formula unit
- Raw formation energy: -0.3257 eV per atom



No. 8
A relaxed CsNa3Se2 crystal. Source: Alexandria, functional PBE.

Cell lengths 9.021, 9.021, 10.932 Å; angles 116.84, 116.84, 30.71 degrees
Fractional positions:
Cs: 0.125 0.125 0.096
Cs: 0.875 0.875 0.904
Na: 0.012 0.012 0.350
Na: 0.331 0.331 0.565
Na: 0.371 0.371 0.293
Na: 0.629 0.629 0.707
Na: 0.669 0.669 0.435
Na: 0.988 0.988 0.650
Se: 0.176 0.176 0.614
Se: 0.495 0.495 0.198
Se: 0.505 0.505 0.802
Se: 0.824 0.824 0.386

Computed properties:
- Final energy: -17.95 eV per formula unit
- Raw formation energy: -1.0276 eV per atom



No. 9
A relaxed CsNa2Se2 crystal. Source: Alexandria, functional PBE.

Cell lengths 7.181, 7.181, 7.181 Å; angles 139.06, 139.06, 59.28 degrees
Fractional positions:
Cs: 0.000 0.000 0.000
Na: 0.250 0.750 0.500
Na: 0.750 0.250 0.500
Se: 0.374 0.374 0.000
Se: 0.626 0.626 0.000

Computed properties:
- Final energy: -14.93 eV per formula unit
- Raw formation energy: -0.8944 eV per atom
- Offset from the most stable computed form: 0.000 eV/atom



No. 10
A relaxed Cs3NaSe2 crystal. Source: Alexandria, functional PBE.

Cell lengths 9.867, 9.867, 9.867 Å; angles 128.87, 69.96, 135.66 degrees
Fractional positions:
Cs: 0.180 0.689 0.869
Cs: 0.250 0.250 0.000
Cs: 0.320 0.189 0.510
Cs: 0.680 0.811 0.490
Cs: 0.750 0.750 0.000
Cs: 0.820 0.311 0.131
Na: 0.250 0.750 0.500
Na: 0.750 0.250 0.500
Se: 0.104 0.297 0.401
Se: 0.396 0.797 0.192
Se: 0.604 0.203 0.808
Se: 0.896 0.703 0.599

Computed properties:
- Final energy: -17.14 eV per formula unit
- Raw formation energy: -1.0485 eV per atom



No. 11
A relaxed Cs3NaSe crystal. Source: Alexandria, functional PBE.

Cell lengths 7.084, 7.084, 7.084 Å; angles 90.00, 90.00, 90.00 degrees
Fractional positions:
Cs: 0.000 0.000 0.500
Cs: 0.000 0.500 0.000
Cs: 0.500 0.000 0.000
Na: 0.500 0.500 0.500
Se: 0.000 0.000 0.000

Computed properties:
- Final energy: -10.25 eV per formula unit
- Raw formation energy: -0.5774 eV per atom
- Offset from the most stable computed form: 0.000 eV/atom



No. 12
A relaxed Cs14NaSe crystal. Source: Alexandria, functional PBE.

Cell lengths 14.692, 10.451, 10.451 Å; angles 75.12, 90.00, 90.00 degrees
Fractional positions:
Cs: 0.000 0.000 0.000
Cs: 0.000 0.469 0.469
Cs: 0.000 0.524 0.945
Cs: 0.000 0.945 0.524
Cs: 0.242 0.228 0.228
Cs: 0.308 0.811 0.811
Cs: 0.337 0.364 0.714
Cs: 0.337 0.714 0.364
Cs: 0.500 0.023 0.505
Cs: 0.500 0.505 0.023
Cs: 0.663 0.364 0.714
Cs: 0.663 0.714 0.364
Cs: 0.692 0.811 0.811
Cs: 0.758 0.228 0.228
Na: 0.500 0.039 0.039
Se: 0.500 0.661 0.661

Computed properties:
- Final energy: -19.30 eV per formula unit
- Raw formation energy: -0.1593 eV per atom



No. 13
A relaxed CsNaSe2 crystal. Source: Alexandria, functional PBE.

Cell lengths 10.912, 10.912, 10.912 Å; angles 23.77, 23.77, 23.77 degrees
Fractional positions:
Cs: 0.000 0.000 0.000
Na: 0.500 0.500 0.500
Se: 0.414 0.414 0.414
Se: 0.586 0.586 0.586

Computed properties:
- Final energy: -10.12 eV per formula unit
- Raw formation energy: -0.2438 eV per atom
- Offset from the most stable computed form: 0.567 eV/atom